Entry 1:
This record from Alexandria describes crystalline Tm6Te3P2Pt at its relaxed geometry. The functional is PBE.

```
Tm6Te3P2Pt
1.0
4.0694 0.0000 0.0000
0.0000 8.4765 0.2204
-2.0347 -2.5269 8.7909
Tm Te P Pt
6 3 2 1
Direct
0.3398 0.8904 0.6796
0.6756 0.5621 0.3511
0.6602 0.1096 0.3204
0.0094 0.2260 0.0188
0.9906 0.7740 0.9812
0.3244 0.4379 0.6489
0.5000 0.5000 0.0000
0.8319 0.1681 0.6638
0.1681 0.8319 0.3362
0.8315 0.6611 0.6629
0.1685 0.3389 0.3371
0.5000 0.0000 0.0000
```

Values from the calculation:
The value obtained for the magnetic moment is 0.00 μB per cell. Its energy relative to the elements, uncorrected is -1400 meV/atom. The uncorrected energy is -5.8258 eV per atom. For the density of states at the Fermi level, the calculation gives 6.049 states/eV per cell.

Entry 2:
This record from Alexandria describes crystalline Tm8Te3PPt3 at its relaxed geometry. The functional is PBE.

```
Tm8Te3PPt3
1.0
8.1696 0.0008 0.0012
-4.0842 7.0868 -0.0299
0.0006 -4.7038 7.1220
Tm Te P Pt
8 3 1 3
Direct
0.2635 0.5271 0.2905
0.7365 0.4729 0.7095
0.7628 0.5257 0.2911
0.2372 0.4743 0.7089
0.7629 0.0283 0.2911
0.2371 0.9717 0.7089
0.2655 0.0284 0.2912
0.7345 0.9716 0.7088
0.0000 0.0000 0.0000
0.0000 0.5000 0.0000
0.5000 0.5000 0.0000
0.0000 0.0000 0.5000
0.5000 0.0000 0.5000
0.5000 0.5000 0.5000
0.0000 0.5000 0.5000
```

Values from the calculation:
The value obtained for the magnetic moment is 0.00 μB per cell. Its energy relative to the elements, uncorrected is -1167 meV/atom. The uncorrected energy is -5.7494 eV per atom. For the density of states at the Fermi level, the calculation gives 7.956 states/eV per cell.

Entry 3:
This record from Alexandria describes crystalline Tm8Te4P3Pt at its relaxed geometry. The functional is PBE.

```
Tm8Te4P3Pt
1.0
8.2203 0.0000 0.0000
0.0000 8.3911 0.1151
-4.1102 -4.1063 5.8154
Tm Te P Pt
8 4 3 1
Direct
0.2366 0.7102 0.9736
0.2366 0.7102 0.4732
0.2637 0.2911 0.5274
0.7370 0.7102 0.9736
0.2630 0.2898 0.0264
0.7363 0.7089 0.4726
0.7634 0.2898 0.5268
0.7634 0.2898 0.0264
0.5000 0.0000 0.0000
0.5000 0.0000 0.5000
0.0000 0.0000 0.0000
0.0000 0.0000 0.5000
0.5000 0.5000 0.0000
0.5000 0.5000 0.5000
0.0000 0.5000 0.5000
0.0000 0.5000 0.0000
```

Values from the calculation:
The value obtained for the magnetic moment is 0.00 μB per cell. Its energy relative to the elements, uncorrected is -1407 meV/atom. The uncorrected energy is -5.8202 eV per atom. For the density of states at the Fermi level, the calculation gives 8.973 states/eV per cell.

Entry 4:
This record from Alexandria describes crystalline V2TePPt at its relaxed geometry. The functional is PBE.

```
V2TePPt
1.0
5.1507 0.0000 0.0000
0.0000 4.2720 0.0000
0.0000 0.0000 5.1507
P Te Pt V
1 1 1 2
Direct
0.0000 0.5000 0.0000
0.5000 0.5000 0.5000
0.0000 0.0000 0.0000
0.0000 0.0000 0.5000
0.5000 0.0000 0.0000
```

Values from the calculation:
The value obtained for the magnetic moment is 5.46 μB per cell. Its energy relative to the elements, uncorrected is 541 meV/atom. The uncorrected energy is -6.0245 eV per atom. For the density of states at the Fermi level, the calculation gives 6.570 states/eV per cell.

Entry 5:
This record from Alexandria describes crystalline Y6Te3PPt2 at its relaxed geometry. The functional is PBE.

```
Y6Te3PPt2
1.0
7.2265 -0.0130 -0.0052
-3.6228 6.2528 -0.0052
-1.2072 -2.0902 7.1958
Y Te P Pt
6 3 1 2
Direct
0.9291 0.5968 0.7871
0.7395 0.7395 0.2152
0.0709 0.4032 0.2129
0.5968 0.9291 0.7871
0.2605 0.2605 0.7848
0.4032 0.0709 0.2129
0.1656 0.8344 0.5000
0.8344 0.1656 0.5000
0.5000 0.5000 0.5000
0.0000 0.0000 0.0000
0.3332 0.6668 0.0000
0.6668 0.3332 0.0000
```

Values from the calculation:
The value obtained for the magnetic moment is 0.00 μB per cell. Its energy relative to the elements, uncorrected is -1338 meV/atom. The uncorrected energy is -6.8133 eV per atom. For the density of states at the Fermi level, the calculation gives 6.412 states/eV per cell.

Entry 6:
This record from Alexandria describes crystalline Y8Te4PPt3 at its relaxed geometry. The functional is PBE.

```
Y8Te4PPt3
1.0
8.3561 0.0000 0.0000
0.0000 8.6554 0.2012
-4.1781 -4.1714 5.9137
Y Te P Pt
8 4 1 3
Direct
0.2376 0.7136 0.9761
0.2375 0.7136 0.4751
0.2630 0.2892 0.5261
0.7385 0.7136 0.9761
0.2615 0.2864 0.0239
0.7370 0.7108 0.4739
0.7625 0.2864 0.5249
0.7624 0.2864 0.0239
0.5000 0.0000 0.0000
0.5000 0.0000 0.5000
0.0000 0.0000 0.0000
0.0000 0.0000 0.5000
0.0000 0.5000 0.0000
0.5000 0.5000 0.0000
0.5000 0.5000 0.5000
0.0000 0.5000 0.5000
```

Values from the calculation:
The value obtained for the magnetic moment is 0.00 μB per cell. Its energy relative to the elements, uncorrected is -1313 meV/atom. The uncorrected energy is -6.8011 eV per atom. For the density of states at the Fermi level, the calculation gives 10.974 states/eV per cell.

Entry 7:
This record from Alexandria describes crystalline Y8Te3PPt3 at its relaxed geometry. The functional is PBE.

```
Y8Te3PPt3
1.0
-8.2197 1.0417 -0.2646
3.7933 -1.1943 7.2836
1.0835 7.5288 -4.0715
Y Te P Pt
8 3 1 3
Direct
0.2626 0.5253 0.2880
0.7374 0.4747 0.7120
0.7630 0.5260 0.2882
0.2370 0.4740 0.7118
0.7631 0.0252 0.2882
0.2369 0.9748 0.7118
0.2621 0.0252 0.2882
0.7379 0.9748 0.7118
0.0000 0.0000 0.0000
0.0000 0.5000 0.0000
0.5000 0.5000 0.0000
0.0000 0.0000 0.5000
0.5000 0.0000 0.5000
0.5000 0.5000 0.5000
0.0000 0.5000 0.5000
```

Values from the calculation:
The value obtained for the magnetic moment is 0.00 μB per cell. Its energy relative to the elements, uncorrected is -1185 meV/atom. The uncorrected energy is -6.8295 eV per atom. For the density of states at the Fermi level, the calculation gives 10.392 states/eV per cell.

Entry 8:
This record from Alexandria describes crystalline Y8Te4P3Pt at its relaxed geometry. The functional is PBE.

```
Y8Te4P3Pt
1.0
-3.4641 -4.3340 6.2168
1.9732 -7.2750 -3.9722
6.0266 5.5210 1.6228
Y Te P Pt
8 4 3 1
Direct
0.2384 0.7128 0.9744
0.2384 0.7128 0.4769
0.2634 0.2901 0.5267
0.7360 0.7128 0.9744
0.2640 0.2872 0.0256
0.7366 0.7099 0.4733
0.7616 0.2872 0.5231
0.7616 0.2872 0.0256
0.5000 0.0000 0.0000
0.5000 0.0000 0.5000
0.0000 0.0000 0.0000
0.0000 0.0000 0.5000
0.5000 0.5000 0.0000
0.5000 0.5000 0.5000
0.0000 0.5000 0.5000
0.0000 0.5000 0.0000
```

Values from the calculation:
The value obtained for the magnetic moment is 0.00 μB per cell. Its energy relative to the elements, uncorrected is -1468 meV/atom. The uncorrected energy is -6.8772 eV per atom. For the density of states at the Fermi level, the calculation gives 9.461 states/eV per cell.

Entry 9:
This record from Alexandria describes crystalline Th3P4Pt4 at its relaxed geometry. The functional is PBE.

```
Th3P4Pt4
1.0
-3.7136 0.9024 1.3472
-1.0663 -4.0305 -0.2828
1.6968 -2.7123 12.6390
Th P Pt
3 4 4
Direct
0.1477 0.6843 0.7033
0.8524 0.3158 0.2967
0.0000 0.0000 0.0000
0.5535 0.6229 0.8921
0.4465 0.3771 0.1079
0.2875 0.7864 0.3863
0.7126 0.2136 0.6137
0.5904 0.1573 0.7995
0.2774 0.2545 0.4807
0.7226 0.7456 0.5193
0.4096 0.8427 0.2005
```

Values from the calculation:
The energy relative to the elements comes out at -1.14 eV per atom. The value obtained for the magnetic moment is 0.00 μB per cell. The uncorrected energy is -7.3278 eV per atom. For the density of states at the Fermi level, the calculation gives 5.359 states/eV per cell.

Entry 10:
This record from Alexandria describes crystalline Th2P3Pt9 at its relaxed geometry. The functional is PBE.

```
Th2P3Pt9
1.0
7.2735 -0.1876 -2.9417
-4.4117 6.4908 0.0158
0.2842 0.2493 10.4671
Th P Pt
4 6 18
Direct
0.3814 0.2495 0.7680
0.6186 0.7505 0.2320
0.9815 0.6134 0.7320
0.0185 0.3866 0.2680
0.5000 0.0000 0.0000
0.5000 0.5000 0.5000
0.8631 0.1800 0.5160
0.1369 0.8200 0.4840
0.1640 0.3471 0.9840
0.8360 0.6529 0.0160
0.4240 0.8948 0.7040
0.5760 0.1052 0.2960
0.6907 0.7199 0.7960
0.3093 0.2801 0.2040
0.3826 0.6317 0.9050
0.6174 0.3683 0.0950
0.2267 0.4777 0.5950
0.7733 0.5223 0.4050
0.8960 0.1460 0.7500
0.1040 0.8540 0.2500
0.1483 0.0227 0.9302
0.8517 0.9773 0.0698
0.5925 0.2181 0.5698
0.4075 0.7819 0.4302
0.8305 0.8616 0.5458
0.1695 0.1384 0.4542
0.8157 0.2847 0.9542
0.1843 0.7153 0.0458
```

Values from the calculation:
The energy relative to the elements comes out at -0.73 eV per atom. The value obtained for the magnetic moment is 0.00 μB per cell. The uncorrected energy is -6.8316 eV per atom. For the density of states at the Fermi level, the calculation gives 12.726 states/eV per cell.